[1]
DFT (PBE) results for a geometry-optimized TbPr2Sb3Pd4 structure.

The structure belongs to space group P-4m2 (No. 115); the cell edges are 4.515, 4.515 and 11.598 Å and the angles 90.00°, 90.00° and 90.00°. The inequivalent atoms are Tb at (0.000, 0.000, 0.000), Pr at (0.000, 0.500, 0.712), Sb at (0.000, 0.500, 0.369), Sb at (0.500, 0.500, 0.000), Pd at (0.000, 0.000, 0.500), Pd at (0.000, 0.500, 0.145) and Pd at (0.500, 0.500, 0.500).

The value obtained for the density of states at the Fermi level is 3.267 states/eV per cell. The total moment comes out at 0.0 Bohr magnetons per cell. The calculation puts the uncorrected energy at -56.486 eV/cell. The value obtained for the calculated volume is 23.6 Å³ per atom.



[2]
DFT (PBE) results for a geometry-optimized Pr2TiSb3Pd4 structure.

The structure belongs to space group P-4m2 (No. 115); the cell edges are 4.436, 4.436 and 11.201 Å and the angles 90.00°, 90.00° and 90.00°. The inequivalent atoms are Pr at (0.000, 0.500, 0.238), Ti at (0.000, 0.000, 0.500), Sb at (0.000, 0.500, 0.863), Sb at (0.500, 0.500, 0.500), Pd at (0.000, 0.000, 0.000), Pd at (0.000, 0.500, 0.630) and Pd at (0.500, 0.500, 0.000).

The value obtained for the density of states at the Fermi level is 6.545 states/eV per cell. The total moment comes out at 0.4 Bohr magnetons per cell. The calculation puts the uncorrected energy at -58.694 eV/cell. The value obtained for the calculated volume is 22.0 Å³ per atom.